Below is crystalline CaNpNiO6 at its relaxed geometry, with properties calculated at the GGA+U level.

Unit cell a=5.261 b=5.261 c=10.239 alpha=90.00 beta=90.00 gamma=120.00
Element x y z (fractional)
Ca 0.000 0.000 0.000
Ca 0.000 0.000 0.500
Np 0.333 0.667 0.250
Np 0.667 0.333 0.750
Ni 0.333 0.667 0.750
Ni 0.667 0.333 0.250
O 0.001 0.361 0.142
O 0.001 0.640 0.358
O 0.360 0.361 0.358
O 0.360 0.999 0.142
O 0.361 0.001 0.642
O 0.361 0.360 0.858
O 0.639 0.640 0.142
O 0.639 0.999 0.358
O 0.640 0.001 0.858
O 0.640 0.639 0.642
O 0.999 0.360 0.642
O 0.999 0.639 0.858

Final energy, eV/atom: -7.401
Total magnetic moment, Bohr magnetons per cell: 1.97
Density, kg/m³: 5842